[1]
The following is a DFT calculation (PBE) of a relaxed Sc2CdCu crystal.

Lattice parameters (Å, degrees): 3.266 4.849 10.164 90.00 90.00 90.00
Sites, in units of the cell vectors:
Sc 0.000 0.000 0.000
Sc 0.000 0.500 0.211
Sc 0.500 0.000 0.711
Sc 0.500 0.500 0.500
Cd 0.000 0.500 0.780
Cd 0.500 0.000 0.280
Cu 0.000 0.000 0.493
Cu 0.500 0.500 0.993

energy of formation from the pure elements	-0.146	eV/atom
E	-4.565	eV/atom
DOS(E_F)	4.18	states/eV/f.u.



[2]
The following is a DFT calculation (PBE) of a relaxed Ac5Nd2DyY crystal.

Lattice parameters (Å, degrees): 11.724 11.724 11.093 90.00 90.00 151.21
Sites, in units of the cell vectors:
Ac 0.000 0.000 0.000
Ac 0.000 0.000 0.500
Ac 0.131 0.869 0.750
Ac 0.219 0.781 0.064
Ac 0.219 0.781 0.436
Ac 0.498 0.502 0.750
Ac 0.502 0.498 0.250
Ac 0.781 0.219 0.564
Ac 0.781 0.219 0.936
Ac 0.869 0.131 0.250
Nd 0.386 0.614 0.006
Nd 0.386 0.614 0.494
Nd 0.614 0.386 0.506
Nd 0.614 0.386 0.994
Dy 0.303 0.697 0.750
Dy 0.697 0.303 0.250
Y 0.099 0.901 0.250
Y 0.901 0.099 0.750

energy of formation from the pure elements	0.134	eV/atom
E	-4.437	eV/atom
DOS(E_F)	12.70	states/eV/f.u.



[3]
The following is a DFT calculation (PBE) of a relaxed Mg2WN2 crystal.

Lattice parameters (Å, degrees): 5.225 5.225 6.123 106.72 106.72 48.81
Sites, in units of the cell vectors:
Mg 0.005 0.005 0.266
Mg 0.338 0.338 0.427
Mg 0.662 0.662 0.573
Mg 0.995 0.995 0.734
W 0.320 0.320 0.926
W 0.680 0.680 0.074
N 0.176 0.176 0.604
N 0.494 0.494 0.777
N 0.506 0.506 0.223
N 0.824 0.824 0.396

formation energy without anion corrections	-427.8	meV per atom
E	-6.986	eV/atom
DOS(E_F)	3.05	states/eV/f.u.